A relaxed structure of LiNiCSO7, computed with GGA+U.

Properties
As for the volume: 277.2 Å³/cell. The total magnetization is 1.972 μB/cell. As for the calculated total energy: -6.125 eV/atom.

Unit cell a=5.038 b=6.465 c=8.532 alpha=90.00 beta=93.81 gamma=90.00
Space group P2_1 (No. 4)
Symmetry-distinct sites (fractional):
Li: 0.222 0.000 0.272 (multiplicity 2)
Ni: 0.213 0.259 0.848 (multiplicity 2)
C: 0.273 0.262 0.565 (multiplicity 2)
S: 0.273 0.765 0.917 (multiplicity 2)
O: 0.041 0.272 0.623 (multiplicity 2)
O: 0.157 0.779 0.074 (multiplicity 2)
O: 0.166 0.580 0.830 (multiplicity 2)
O: 0.208 0.947 0.820 (multiplicity 2)
O: 0.303 0.228 0.423 (multiplicity 2)
O: 0.431 0.240 0.053 (multiplicity 2)
O: 0.469 0.284 0.670 (multiplicity 2)